(1)
{"formula": "MnBiAsS2", "functional": "PBE", "state": "optimized geometry", "lattice_angstrom": [[5.244, 0.000, 0.000], [0.000, 5.372, 0.000], [0.000, 0.000, 5.244]], "species": ["As", "S", "S", "Bi", "Mn"], "frac_coords": [[0.500, 0.500, 0.500], [0.000, 0.000, 0.500], [0.500, 0.000, 0.000], [0.000, 0.000, 0.000], [0.000, 0.500, 0.000]], "dos_at_fermi_per_ev_atom": 0.550, "m_tot_mub_per_cell": 3.00, "crystal_system": "tetragonal", "final_energy_ev_per_cell": -20.67}



(2)
{"formula": "ScMnBiAs2", "functional": "PBE", "state": "optimized geometry", "lattice_angstrom": [[-2.945, 3.409, -0.619], [-0.970, -1.702, -4.757], [-3.358, -2.607, 1.617]], "species": ["Bi", "As", "As", "Mn", "Sc"], "frac_coords": [[0.500, 0.500, 0.500], [0.500, 0.000, 0.000], [0.000, 0.000, 0.500], [0.000, 0.000, 0.000], [0.000, 0.500, 0.000]], "dos_at_fermi_per_ev_atom": 0.692, "formation_energy_mev_per_atom": -14, "m_tot_mub_per_cell": 0.00, "crystal_system": "tetragonal"}



(3)
{"formula": "Sc2MnBiAs", "functional": "PBE", "state": "optimized geometry", "lattice_angstrom": [[5.000, 0.000, 0.000], [0.000, 5.667, 0.000], [0.000, 0.000, 5.000]], "species": ["Sc", "Sc", "As", "Mn", "Bi"], "frac_coords": [[0.000, 0.000, 0.500], [0.500, 0.000, 0.000], [0.000, 0.000, 0.000], [0.500, 0.500, 0.500], [0.000, 0.500, 0.000]], "dos_at_fermi_per_ev_atom": 1.291, "formation_energy_mev_per_atom": 234, "m_tot_mub_per_cell": 3.92, "crystal_system": "tetragonal"}



Number 3 is which compound?
Sc2MnBiAs



Which formula does entry 2 have?
ScMnBiAs2